(1)
An optimized crystal structure of K2Ga3NiF12. Source: Alexandria, functional PBE+U.

Cell and atoms, written as CIF:
```
data_K2Ga3NiF12
_cell_length_a 7.3022
_cell_length_b 7.3022
_cell_length_c 7.3022
_cell_angle_alpha 60.97
_cell_angle_beta 60.97
_cell_angle_gamma 60.97
_symmetry_space_group_name_H-M 'P 1'
_symmetry_Int_Tables_number 1
loop_
_symmetry_equiv_pos_as_xyz
'x,y,z'
loop_
_atom_site_label
_atom_site_type_symbol
_atom_site_fract_x
_atom_site_fract_y
_atom_site_fract_z
_atom_site_occupancy
F1 F 0.3313 0.9240 0.9240 1
F2 F 0.6823 0.6823 0.0698 1
F3 F 0.6687 0.0760 0.0760 1
F4 F 0.0760 0.0760 0.6687 1
F5 F 0.0698 0.6823 0.6823 1
F6 F 0.9302 0.3177 0.3177 1
F7 F 0.9240 0.3313 0.9240 1
F8 F 0.3177 0.9302 0.3177 1
F9 F 0.0760 0.6687 0.0760 1
F10 F 0.9240 0.9240 0.3313 1
F11 F 0.3177 0.3177 0.9302 1
F12 F 0.6823 0.0698 0.6823 1
Ni1 Ni 0.0000 0.0000 0.0000 1
Ga1 Ga 0.0000 0.0000 0.5000 1
Ga2 Ga 0.5000 0.0000 0.0000 1
Ga3 Ga 0.0000 0.5000 0.0000 1
K1 K 0.3619 0.3619 0.3619 1
K2 K 0.6381 0.6381 0.6381 1
```

Calculated values
Crystal system: trigonal

(2)
An optimized crystal structure of NiHF4. Source: Alexandria, functional PBE+U.

Cell and atoms, written as CIF:
```
data_NiHF4
_cell_length_a 5.0840
_cell_length_b 4.8748
_cell_length_c 6.7692
_cell_angle_alpha 68.90
_cell_angle_beta 84.09
_cell_angle_gamma 73.38
_symmetry_space_group_name_H-M 'P 1'
_symmetry_Int_Tables_number 1
loop_
_symmetry_equiv_pos_as_xyz
'x,y,z'
loop_
_atom_site_label
_atom_site_type_symbol
_atom_site_fract_x
_atom_site_fract_y
_atom_site_fract_z
_atom_site_occupancy
Ni1 Ni 0.7500 0.0649 0.3703 1
Ni2 Ni 0.2500 0.9351 0.6297 1
H1 H 0.2500 0.3332 0.8336 1
H2 H 0.7500 0.6668 0.1664 1
F1 F 0.7001 0.9172 0.1564 1
F2 F 0.8808 0.1770 0.5871 1
F3 F 0.1192 0.8230 0.4129 1
F4 F 0.7999 0.4264 0.1564 1
F5 F 0.2999 0.0828 0.8436 1
F6 F 0.2001 0.5736 0.8436 1
F7 F 0.6192 0.7359 0.5871 1
F8 F 0.3808 0.2641 0.4129 1
```

Calculated values
Crystal system: monoclinic

no.,E (eV per atom)
1,-4.536
2,-3.848